# 1
{"formula": "CaOs3Ru", "functional": "PBE-GGA", "state": "relaxed", "cell": [[4.723, 0.000, 0.000], [0.000, 4.723, 0.000], [0.000, 0.000, 4.723]], "species": ["Ru", "Os", "Os", "Os", "Ca"], "fractional_positions": [[0.000, 0.000, 0.000], [0.000, 0.500, 0.000], [0.500, 0.000, 0.000], [0.000, 0.000, 0.500], [0.500, 0.500, 0.500]], "e_above_lowest_polymorph_mev_per_atom": 0, "e_tot_ev_per_atom": -7.40, "vol_a3_per_fu": 105.4}



# 2
{"formula": "Ac2PaGe3Ir4", "functional": "PBE-GGA", "state": "relaxed", "cell": [[4.372, 0.000, 0.000], [0.000, 4.372, 0.000], [0.000, 0.000, 11.097]], "species": ["Ir", "Ir", "Ir", "Ir", "Ge", "Ge", "Ge", "Pa", "Ac", "Ac"], "fractional_positions": [[0.500, 0.500, 0.000], [0.000, 0.500, 0.353], [0.500, 0.000, 0.647], [0.000, 0.000, 0.000], [0.000, 0.000, 0.500], [0.000, 0.500, 0.121], [0.500, 0.000, 0.879], [0.500, 0.500, 0.500], [0.500, 0.000, 0.231], [0.000, 0.500, 0.769]], "e_tot_ev_per_atom": -7.45, "vol_a3_per_fu": 212.1}



# 3
{"formula": "As2PbCl", "functional": "PBE-GGA", "state": "relaxed", "cell": [[6.885, 0.000, 0.000], [0.000, 6.885, 0.000], [3.442, 3.442, 5.577]], "species": ["Cl", "Cl", "As", "As", "As", "As", "Pb", "Pb"], "fractional_positions": [[0.500, 0.500, 0.000], [0.250, 0.750, 0.500], [0.625, 0.125, 0.250], [0.375, 0.375, 0.750], [0.125, 0.625, 0.250], [0.875, 0.875, 0.750], [0.750, 0.250, 0.500], [0.000, 0.000, 0.000]], "e_tot_ev_per_atom": -3.30, "vol_a3_per_fu": 132.2, "formation_energy_uncorrected_ev_per_atom": 0.41}



# 4
{"formula": "Sr4Tb3HoTe8", "functional": "PBE-GGA", "state": "relaxed", "cell": [[-0.455, 5.975, 6.685], [-9.013, -1.456, 0.688], [5.641, -6.961, 0.578]], "species": ["Tb", "Tb", "Tb", "Te", "Te", "Te", "Te", "Te", "Te", "Te", "Te", "Sr", "Sr", "Sr", "Sr", "Ho"], "fractional_positions": [[0.500, 0.500, 0.000], [0.500, 0.500, 0.500], [0.000, 0.500, 0.500], [0.744, 0.732, 0.488], [0.757, 0.269, 0.012], [0.254, 0.269, 0.012], [0.256, 0.268, 0.512], [0.243, 0.732, 0.487], [0.746, 0.731, 0.988], [0.243, 0.731, 0.988], [0.757, 0.268, 0.513], [0.500, 0.000, 0.500], [0.000, 0.000, 0.000], [0.500, 0.000, 0.000], [0.000, 0.000, 0.500], [0.000, 0.500, 0.000]], "e_tot_ev_per_atom": -4.64, "vol_a3_per_fu": 526.8, "formation_energy_uncorrected_ev_per_atom": -1.50}



# 5
{"formula": "V2ReOs2", "functional": "PBE-GGA", "state": "relaxed", "cell": [[-1.516, 3.500, 0.506], [-2.817, -1.528, 2.129], [0.824, 1.641, 5.743]], "species": ["V", "V", "Re", "Os", "Os"], "fractional_positions": [[0.750, 0.250, 0.500], [0.250, 0.750, 0.500], [0.000, 0.000, 0.000], [0.612, 0.612, 0.775], [0.388, 0.388, 0.225]], "e_above_lowest_polymorph_mev_per_atom": 504, "e_tot_ev_per_atom": -10.01, "vol_a3_per_fu": 79.7}



# 6
{"formula": "Ac2ErTlO6", "functional": "PBE-GGA", "state": "relaxed", "cell": [[-2.901, 3.971, -3.434], [-5.065, -0.638, 3.542], [2.798, 6.393, 5.151]], "species": ["O", "O", "O", "O", "O", "O", "O", "O", "O", "O", "O", "O", "Tl", "Tl", "Ac", "Ac", "Ac", "Ac", "Er", "Er"], "fractional_positions": [[0.305, 0.705, 0.066], [0.201, 0.195, 0.059], [0.701, 0.305, 0.559], [0.382, 0.948, 0.756], [0.118, 0.448, 0.744], [0.695, 0.295, 0.934], [0.299, 0.695, 0.441], [0.799, 0.805, 0.941], [0.882, 0.552, 0.256], [0.195, 0.205, 0.434], [0.805, 0.795, 0.566], [0.618, 0.052, 0.244], [0.000, 0.500, 0.000], [0.500, 0.000, 0.500], [0.515, 0.553, 0.748], [0.985, 0.053, 0.752], [0.015, 0.947, 0.248], [0.485, 0.447, 0.252], [0.000, 0.500, 0.500], [0.500, 0.000, 0.000]], "e_tot_ev_per_atom": -7.24, "vol_a3_per_fu": 161.6, "formation_energy_uncorrected_ev_per_atom": -2.75}